No. 1
Compound: LiZr2AgBi
Source: Alexandria
Functional: PBEsol
Structure: relaxed

a = 4.501 Å, b = 5.142 Å, c = 5.142 Å
α = 90.00°, β = 90.00°, γ = 90.00°
Positions (direct):
1 Zr 0.000 0.000 0.500
2 Zr 0.000 0.500 0.000
3 Li 0.500 0.000 0.000
4 Bi 0.500 0.500 0.500
5 Ag 0.000 0.000 0.000

Results
- Density: 7.1 g/cm3
- Calculated volume: 119 Å³/f.u.
- E: -5.155 eV per atom

No. 2
Compound: Ba3SnP3
Source: Alexandria
Functional: PBEsol
Structure: relaxed

a = 8.576 Å, b = 8.737 Å, c = 12.654 Å
α = 90.00°, β = 90.00°, γ = 113.95°
Positions (direct):
1 P 0.921 0.155 0.530
2 P 0.374 0.756 0.698
3 P 0.079 0.845 0.470
4 P 0.932 0.667 0.134
5 P 0.432 0.667 0.366
6 P 0.874 0.756 0.802
7 P 0.421 0.155 0.970
8 P 0.626 0.244 0.302
9 P 0.568 0.333 0.634
10 P 0.579 0.845 0.030
11 P 0.068 0.333 0.866
12 P 0.126 0.244 0.198
13 Ba 0.322 0.941 0.205
14 Ba 0.178 0.059 0.705
15 Ba 0.699 0.731 0.569
16 Ba 0.009 0.502 0.336
17 Ba 0.301 0.269 0.431
18 Ba 0.822 0.941 0.295
19 Ba 0.991 0.498 0.664
20 Ba 0.491 0.498 0.836
21 Ba 0.678 0.059 0.795
22 Ba 0.199 0.731 0.931
23 Ba 0.509 0.502 0.164
24 Ba 0.801 0.269 0.069
25 Sn 0.640 0.165 0.494
26 Sn 0.140 0.165 0.006
27 Sn 0.360 0.835 0.506
28 Sn 0.860 0.835 0.994

Results
- Density: 4.8 g/cm3
- Calculated volume: 217 Å³/f.u.
- E: -4.887 eV per atom

No. 3
Compound: YSbW2
Source: Alexandria
Functional: PBEsol
Structure: relaxed

a = 3.570 Å, b = 4.711 Å, c = 5.499 Å
α = 115.36°, β = 108.94°, γ = 90.00°
Positions (direct):
1 W 0.724 0.224 0.447
2 W 0.019 0.019 0.038
3 Sb 0.265 0.765 0.531
4 Y 0.492 0.492 0.984

Results
- Density: 12.3 g/cm3
- Formation energy without anion corrections: 0.3170 eV/atom
- Calculated volume: 78 Å³/f.u.

No. 4
Compound: La2CdCl2
Source: Alexandria
Functional: PBEsol
Structure: relaxed

a = 4.288 Å, b = 4.288 Å, c = 8.134 Å
α = 105.28°, β = 105.28°, γ = 90.00°
Positions (direct):
1 La 0.621 0.621 0.242
2 La 0.379 0.379 0.758
3 Cl 0.250 0.750 0.500
4 Cl 0.750 0.250 0.500
5 Cd 0.000 0.000 0.000

Results
- Density: 5.5 g/cm3
- Formation energy without anion corrections: -1.2223 eV/atom
- Calculated volume: 139 Å³/f.u.

No. 5
Compound: KTbS2
Source: Alexandria
Functional: PBEsol
Structure: relaxed

a = 4.007 Å, b = 4.007 Å, c = 7.616 Å
α = 74.75°, β = 74.75°, γ = 60.00°
Positions (direct):
1 Tb 0.000 0.000 0.000
2 K 0.500 0.500 0.500
3 S 0.735 0.735 0.796
4 S 0.265 0.265 0.204

Results
- Density: 4.3 g/cm3
- Formation energy without anion corrections: -1.9087 eV/atom
- Calculated volume: 101 Å³/f.u.

No. 6
Compound: Ag2HgS2
Source: Alexandria
Functional: PBEsol
Structure: relaxed

a = 4.075 Å, b = 6.405 Å, c = 7.885 Å
α = 90.00°, β = 90.00°, γ = 108.40°
Positions (direct):
1 S 0.522 0.723 0.872
2 S 0.478 0.277 0.128
3 S 0.978 0.777 0.372
4 S 0.022 0.223 0.628
5 Ag 0.207 0.592 0.152
6 Ag 0.707 0.092 0.348
7 Ag 0.793 0.408 0.848
8 Ag 0.293 0.908 0.652
9 Hg 0.000 0.000 0.000
10 Hg 0.500 0.500 0.500

Results
- Density: 8.2 g/cm3
- Formation energy without anion corrections: -0.0764 eV/atom
- Calculated volume: 98 Å³/f.u.

No. 7
Compound: MoPbCl
Source: Alexandria
Functional: PBEsol
Structure: relaxed

a = 3.209 Å, b = 4.521 Å, c = 4.521 Å
α = 120.00°, β = 90.00°, γ = 90.00°
Site moments in Bohr magnetons follow the coordinates.
Positions (direct):
1 Cl 0.000 0.000 0.000  0.00
2 Pb 0.500 0.667 0.333  -0.04
3 Mo 0.000 0.333 0.667  1.02

Results
- Density: 9.9 g/cm3
- Formation energy without anion corrections: 0.4590 eV/atom
- Calculated volume: 57 Å³/f.u.

No. 8
Compound: LiTaReS2
Source: Alexandria
Functional: PBEsol
Structure: relaxed

a = 4.647 Å, b = 4.647 Å, c = 5.028 Å
α = 90.00°, β = 90.00°, γ = 90.00°
Site moments in Bohr magnetons follow the coordinates.
Positions (direct):
1 Re 0.500 0.500 0.500  3.78
2 S 0.000 0.500 0.000  0.07
3 S 0.500 0.000 0.000  0.07
4 Li 0.000 0.000 0.500  -0.01
5 Ta 0.000 0.000 0.000  -0.13

Results
- Density: 6.7 g/cm3
- Formation energy without anion corrections: 1.2373 eV/atom
- Calculated volume: 109 Å³/f.u.

No. 9
Compound: HgMo2Ir
Source: Alexandria
Functional: PBEsol
Structure: relaxed

a = 2.783 Å, b = 4.953 Å, c = 4.953 Å
α = 113.44°, β = 90.00°, γ = 90.00°
Positions (direct):
1 Ir 0.500 0.500 0.500
2 Mo 0.000 0.000 0.500
3 Mo 0.000 0.500 0.000
4 Hg 0.500 0.000 0.000

Results
- Density: 15.5 g/cm3
- Calculated volume: 63 Å³/f.u.
- E: -8.207 eV per atom

No. 10
Compound: OsPt2WBr
Source: Alexandria
Functional: PBEsol
Structure: relaxed

a = 4.733 Å, b = 4.810 Å, c = 4.810 Å
α = 90.00°, β = 90.00°, γ = 90.00°
Site moments in Bohr magnetons follow the coordinates.
Positions (direct):
1 W 0.500 0.000 0.000  0.74
2 Os 0.000 0.000 0.000  -0.09
3 Pt 0.000 0.000 0.500  -0.08
4 Pt 0.000 0.500 0.000  -0.08
5 Br 0.500 0.500 0.500  -0.06

Results
- Density: 12.8 g/cm3
- Formation energy without anion corrections: 1.7731 eV/atom
- Calculated volume: 109 Å³/f.u.

No. 11
Compound: SmMn4Al8
Source: Alexandria
Functional: PBEsol
Structure: relaxed

a = 4.896 Å, b = 6.654 Å, c = 6.654 Å
α = 82.22°, β = 68.41°, γ = 68.41°
Positions (direct):
1 Sm 0.000 0.000 0.000
2 Mn 0.500 0.000 0.500
3 Mn 0.000 0.000 0.500
4 Mn 0.500 0.500 0.000
5 Mn 0.000 0.500 0.000
6 Al 0.281 0.219 0.219
7 Al 0.658 0.342 0.342
8 Al 0.000 0.658 0.342
9 Al 0.000 0.342 0.658
10 Al 0.719 0.781 0.781
11 Al 0.500 0.781 0.219
12 Al 0.342 0.658 0.658
13 Al 0.500 0.219 0.781

Results
- Density: 5.2 g/cm3
- Calculated volume: 187 Å³/f.u.
- E: -6.225 eV per atom

No. 12
Compound: LaNiP
Source: Alexandria
Functional: PBEsol
Structure: relaxed

a = 3.975 Å, b = 3.975 Å, c = 8.106 Å
α = 90.00°, β = 90.00°, γ = 120.00°
Positions (direct):
1 P 0.333 0.667 0.250
2 P 0.667 0.333 0.750
3 La 0.000 0.000 0.000
4 La 0.000 0.000 0.500
5 Ni 0.667 0.333 0.250
6 Ni 0.333 0.667 0.750

Results
- Density: 6.8 g/cm3
- Calculated volume: 55 Å³/f.u.
- E: -6.975 eV per atom